Entry 1:
# CuReF2, optimized geometry, DFT PBE
data_CuReF2
_space_group_name_H-M_alt 'F m -3 m'
_space_group_IT_number 225
_space_group_name_Hall '-F 4 2 3'
_cell_length_a 5.915
_cell_length_b 5.915
_cell_length_c 5.915
_cell_angle_alpha 90.00
_cell_angle_beta 90.00
_cell_angle_gamma 90.00
loop_
_atom_site_label
_atom_site_type_symbol
_atom_site_fract_x
_atom_site_fract_y
_atom_site_fract_z
_atom_site_occupancy
Cu1 Cu 0.000 0.000 0.000 1
Re1 Re 0.000 0.000 0.500 1
F1 F 0.250 0.250 0.250 1
# Calculated total energy, eV/cell: -75.41
# ΔE to the lowest computed polymorph, eV per formula unit: 2.89
# Total magnetic moment, μB/atom: 1.017
# Volume, Å³ per cell: 207.0

=====

Entry 2:
# ScCuReF2, optimized geometry, DFT PBE
data_ScCuReF2
_space_group_name_H-M_alt 'P 4/m m m'
_space_group_IT_number 123
_space_group_name_Hall '-P 4 2'
_cell_length_a 4.021
_cell_length_b 4.021
_cell_length_c 5.037
_cell_angle_alpha 90.00
_cell_angle_beta 90.00
_cell_angle_gamma 90.00
loop_
_atom_site_label
_atom_site_type_symbol
_atom_site_fract_x
_atom_site_fract_y
_atom_site_fract_z
_atom_site_occupancy
Sc1 Sc 0.000 0.000 0.000 1
Cu1 Cu 0.500 0.500 0.000 1
Re1 Re 0.500 0.500 0.500 1
F1 F 0.000 0.500 0.500 1
# Calculated total energy, eV/cell: -28.24
# Total magnetic moment, μB/atom: 0.000
# Volume, Å³ per cell: 81.5

=====

Entry 3:
# Cu2ReTeF, optimized geometry, DFT PBE
data_Cu2ReTeF
_space_group_name_H-M_alt 'P 4/m m m'
_space_group_IT_number 123
_space_group_name_Hall '-P 4 2'
_cell_length_a 4.829
_cell_length_b 4.829
_cell_length_c 5.222
_cell_angle_alpha 90.00
_cell_angle_beta 90.00
_cell_angle_gamma 90.00
loop_
_atom_site_label
_atom_site_type_symbol
_atom_site_fract_x
_atom_site_fract_y
_atom_site_fract_z
_atom_site_occupancy
Cu1 Cu 0.000 0.500 0.000 1
Re1 Re 0.000 0.000 0.500 1
Te1 Te 0.000 0.000 0.000 1
F1 F 0.500 0.500 0.500 1
# Calculated total energy, eV/cell: -20.15
# Total magnetic moment, μB/atom: 0.800
# Volume, Å³ per cell: 121.8

=====

Entry 4:
# Ti2CuReF, optimized geometry, DFT PBE
data_Ti2CuReF
_space_group_name_H-M_alt 'P 4/m m m'
_space_group_IT_number 123
_space_group_name_Hall '-P 4 2'
_cell_length_a 4.790
_cell_length_b 4.790
_cell_length_c 4.021
_cell_angle_alpha 90.00
_cell_angle_beta 90.00
_cell_angle_gamma 90.00
loop_
_atom_site_label
_atom_site_type_symbol
_atom_site_fract_x
_atom_site_fract_y
_atom_site_fract_z
_atom_site_occupancy
Ti1 Ti 0.000 0.500 0.000 1
Cu1 Cu 0.000 0.000 0.500 1
Re1 Re 0.500 0.500 0.000 1
F1 F 0.500 0.500 0.500 1
# Calculated total energy, eV/cell: -32.15
# Total magnetic moment, μB/atom: 0.090
# Volume, Å³ per cell: 92.3

=====

Q: Among the records above, which one has the lowest volume?
A: ScCuReF2